Density functional theory data (PBE) for crystalline ThAlZn at its relaxed geometry.

Space-group type: I-4m2, No. 119
Formation energy from the elements, meV/atom: -340

The structure in POSCAR format:
```
ThAlZn
1.0
-4.0076 -1.4341 0.1654
0.6932 -1.4836 3.9323
-0.6020 8.1073 0.8577
Th Al Zn
2 2 2
direct
0.2500 0.7500 0.5000
0.5000 0.5000 0.0000
0.8346 0.3346 0.6693
0.6654 0.1654 0.3307
0.9184 0.9184 0.8369
0.0816 0.0816 0.1631
```


Density functional theory data (PBE) for crystalline Th3Al5Zn6 at its relaxed geometry.

Space-group type: Pmmn, No. 59
Formation energy from the elements, meV/atom: -341

The structure in POSCAR format:
```
Th3Al5Zn6
1.0
4.3481 0.0000 0.0000
0.0000 9.8883 0.0000
0.0000 0.0000 12.8159
Th Al Zn
6 10 12
direct
0.0000 0.2499 0.6852
0.5000 0.7501 0.1852
0.5000 0.7501 0.8148
0.0000 0.2472 0.0000
0.5000 0.7528 0.5000
0.0000 0.2499 0.3148
0.0000 0.5203 0.8626
0.0000 0.8829 0.6618
0.0000 0.7562 0.0000
0.5000 0.4797 0.6374
0.5000 0.2438 0.5000
0.0000 0.5203 0.1374
0.5000 0.4797 0.3626
0.0000 0.8829 0.3382
0.5000 0.1171 0.8382
0.5000 0.1171 0.1618
0.0000 0.9757 0.8584
0.5000 0.0243 0.6416
0.5000 0.3791 0.8367
0.5000 0.5308 0.0000
0.0000 0.4692 0.5000
0.0000 0.6209 0.6633
0.0000 0.6209 0.3367
0.5000 0.9635 0.0000
0.0000 0.9757 0.1416
0.5000 0.3791 0.1633
0.0000 0.0365 0.5000
0.5000 0.0243 0.3584
```


Density functional theory data (PBE) for crystalline ThAlZn2 at its relaxed geometry.

Space-group type: P4/mmm, No. 123
Formation energy from the elements, meV/atom: -155

The structure in POSCAR format:
```
ThAlZn2
1.0
4.3933 0.0000 0.0000
0.0000 4.4267 0.0000
0.0000 0.0000 4.4267
Zn Al Th
2 1 1
direct
0.0000 0.0000 0.5000
0.0000 0.5000 0.0000
0.5000 0.0000 0.0000
0.5000 0.5000 0.5000
```


Density functional theory data (PBE) for crystalline Th2AlZn6 at its relaxed geometry.

Space-group type: Immm, No. 71
Formation energy from the elements, meV/atom: -12
Distance to the lowest polymorph of the same formula, kJ per mole of atoms: 26.11

The structure in POSCAR format:
```
Th2AlZn6
1.0
-1.5444 3.5180 2.7045
-3.2980 1.7649 -4.1792
-3.0340 -6.9477 3.2237
Th Al Zn
2 1 6
direct
0.8901 0.8901 0.7801
0.1099 0.1099 0.2199
0.0000 0.5000 0.0000
0.6990 0.9345 0.3981
0.3010 0.0655 0.6019
0.3010 0.5364 0.6019
0.5000 0.2523 0.0000
0.5000 0.7477 0.0000
0.6990 0.4636 0.3981
```


Density functional theory data (PBE) for crystalline Th2AlZn6 at its relaxed geometry.

Space-group type: P-3m1, No. 164
Formation energy from the elements, meV/atom: -283
Distance to the lowest polymorph of the same formula, kJ per mole of atoms: 0.00

The structure in POSCAR format:
```
Th2AlZn6
1.0
-4.7846 1.4341 3.1013
3.3272 -4.5524 1.6652
3.1978 3.5425 3.2953
Th Al Zn
2 1 6
direct
0.6667 0.3333 0.8489
0.3333 0.6667 0.1511
0.0000 0.0000 0.0000
0.8206 0.1794 0.3399
0.3589 0.1794 0.3399
0.8206 0.6411 0.3399
0.1794 0.8206 0.6601
0.6411 0.8206 0.6601
0.1794 0.3589 0.6601
```


Density functional theory data (PBE) for crystalline ThAlZn2 at its relaxed geometry.

Space-group type: Fm-3m, No. 225
Formation energy from the elements, meV/atom: -172

The structure in POSCAR format:
```
ThAlZn2
1.0
4.8574 0.0000 0.0000
2.4287 4.2066 0.0000
2.4287 1.4022 3.9661
Zn Al Th
2 1 1
direct
0.2500 0.2500 0.2500
0.7500 0.7500 0.7500
0.5000 0.5000 0.5000
0.0000 0.0000 0.0000
```